# CeDy2Ir3

A relaxed structure of CeDy2Ir3 (PBE, Alexandria).

extended XYZ file:
```
6
Lattice="-1.9875 2.8469 6.0742 1.9875 -2.8469 6.0742 1.9875 2.8469 -6.0742" Properties=species:S:1:pos:R:3 pbc="T T T"
Ce 0.0000 0.0000 0.0000
Dy 0.0000 0.0000 4.0370
Dy 0.0000 0.0000 8.1113
Ir 1.9875 0.0000 1.9548
Ir 0.0000 2.8469 0.0000
Ir 0.0000 2.8469 4.1194
```

Results
Symmetry = Immm (71)
Total energy = -45.164 eV/f.u.
N(E_F) = 2.83 states/eV per cell
Energy relative to the elements = -0.57 eV/atom
Magnetization = 0.00 μB/cell